[1]
DFT (GGA-PBE) results for Ce2PmPuS4 after structural relaxation.

The structure in extended XYZ format:
```
8
Lattice="6.923 0.000 0.000 0.000 3.994 0.000 -2.308 0.000 6.581" Properties=species:S:1:pos:R:3 pbc="T T T"
Ce 0.000 0.000 0.000
Ce 3.462 1.997 0.000
Pm -1.154 1.997 3.290
Pu 2.307 0.000 3.290
S 0.020 0.000 4.922
S 1.177 1.997 1.679
S 3.438 1.997 4.902
S 4.595 0.000 1.658
```

## Properties
SG = P2/m (10)
E = -63.30 eV for the cell shown


[2]
DFT (GGA-PBE) results for Ce3Pm4PuS8 after structural relaxation.

The structure in extended XYZ format:
```
16
Lattice="4.021 2.322 6.566 -4.021 2.322 6.566 0.000 -4.643 6.566" Properties=species:S:1:pos:R:3 pbc="T T T"
Ce -2.011 -1.161 6.566
Ce -2.011 1.161 13.133
Ce 0.000 2.322 6.566
Pm -4.021 0.000 9.850
Pm -2.011 1.161 3.283
Pm 2.011 1.161 3.283
Pm 0.000 0.000 9.850
Pu 0.000 0.000 0.000
S 0.000 -2.339 8.189
S -2.026 1.170 8.189
S -2.026 -1.170 11.510
S 0.000 0.000 4.926
S 0.000 0.000 14.773
S 2.026 1.170 8.189
S 2.026 -1.170 11.510
S 0.000 2.339 11.510
```

## Properties
SG = R-3m (166)
E = -116.39 eV for the cell shown


[3]
DFT (GGA-PBE) results for Ce2Pm3PuS6 after structural relaxation.

The structure in extended XYZ format:
```
12
Lattice="3.478 -6.027 0.000 3.478 6.027 0.000 -2.319 0.000 6.564" Properties=species:S:1:pos:R:3 pbc="T T T"
Ce 3.478 4.021 0.000
Ce 3.478 -4.021 0.000
Pm -1.159 0.000 3.282
Pm 2.319 2.012 3.282
Pm 2.319 -2.012 3.282
Pu 3.478 0.000 0.000
S 0.012 1.991 4.943
S 1.183 0.000 1.624
S 0.012 -1.991 4.943
S 4.626 1.991 1.621
S 3.455 0.000 4.940
S 4.626 -1.991 1.621
```

## Properties
SG = C2/m (12)
E = -89.30 eV for the cell shown


[4]
DFT (GGA-PBE) results for Ce4PmPu3S8 after structural relaxation.

The structure in extended XYZ format:
```
16
Lattice="6.901 -3.984 0.000 6.901 3.984 0.000 -4.589 0.000 6.550" Properties=species:S:1:pos:R:3 pbc="T T T"
Ce 0.000 0.000 0.000
Ce 1.156 1.992 3.275
Ce 1.156 -1.992 3.275
Ce 6.901 0.000 0.000
Pm -2.295 0.000 3.275
Pu 3.450 1.992 0.000
Pu 3.450 -1.992 0.000
Pu 4.606 0.000 3.275
S -0.013 0.000 4.946
S 5.728 1.974 1.637
S 2.342 0.000 1.621
S 3.484 1.974 4.913
S 5.728 -1.974 1.637
S 6.870 0.000 4.929
S 3.484 -1.974 4.913
S 9.226 0.000 1.604
```

## Properties
SG = C2/m (12)
E = -135.64 eV for the cell shown


[5]
DFT (GGA-PBE) results for Ce2PmPuSb4 after structural relaxation.

The structure in extended XYZ format:
```
8
Lattice="7.746 0.000 0.000 0.000 4.483 0.000 -2.596 0.000 7.322" Properties=species:S:1:pos:R:3 pbc="T T T"
Ce 0.000 0.000 0.000
Ce -1.298 2.242 3.661
Pm 2.575 0.000 3.661
Pu 3.873 2.242 0.000
Sb 1.288 2.242 1.816
Sb -0.006 0.000 5.509
Sb 5.157 0.000 1.813
Sb 3.862 2.242 5.506
```

## Properties
SG = P2/m (10)
E = -55.22 eV for the cell shown


[6]
DFT (GGA-PBE) results for Ce2PmPuSe4 after structural relaxation.

The structure in extended XYZ format:
```
8
Lattice="7.255 0.000 0.000 0.000 4.176 0.000 -2.403 0.000 6.866" Properties=species:S:1:pos:R:3 pbc="T T T"
Ce 0.000 0.000 0.000
Ce 3.628 2.088 0.000
Pm -1.202 2.088 3.433
Pu 2.426 0.000 3.433
Se 0.029 0.000 5.133
Se 1.232 2.088 1.748
Se 3.620 2.088 5.118
Se 4.823 0.000 1.734
```

## Properties
SG = P2/m (10)
E = -58.96 eV for the cell shown


Which formula does entry 5 have? Ce2PmPuSb4